one:
NiAgIr2 | SCAN | PBEsol geometry

Computed properties:
The space group is No. 65.

Lattice parameters (Å, degrees): 2.713 4.579 9.067 90.00 90.00 90.00
Fractional positions:
Ni  0.000  0.000  0.000
Ni  0.500  0.500  0.000
Ag  0.000  0.000  0.500
Ag  0.500  0.500  0.500
Ir  0.000  0.500  0.230
Ir  0.000  0.500  0.770
Ir  0.500  0.000  0.230
Ir  0.500  0.000  0.770

two:
NiAgIr2 | SCAN | PBEsol geometry

Computed properties:
The space group is No. 8.

Lattice parameters (Å, degrees): 8.865 2.717 4.687 90.00 100.66 90.00
Fractional positions:
Ni  0.000  0.000  0.000
Ni  0.500  0.500  0.000
Ag  0.253  0.500  0.221
Ag  0.753  0.000  0.221
Ir  0.014  0.500  0.533
Ir  0.260  0.000  0.725
Ir  0.514  0.000  0.533
Ir  0.760  0.500  0.725

Relative calculated energies, zero for the most stable structure, unit kJ/mol of atoms: one 0.8; two 0.0.

one:
Ag2IrOs | SCAN | PBEsol geometry

Computed properties:
The space group is No. 47.

Lattice parameters (Å, degrees): 2.710 4.655 4.859 90.00 90.00 90.00
Fractional positions:
Ag  0.000  0.000  0.000
Ag  0.500  0.500  0.000
Ir  0.000  0.500  0.500
Os  0.500  0.000  0.500

two:
Ag2IrOs | SCAN | PBEsol geometry

Computed properties:
The space group is No. 99.

Lattice parameters (Å, degrees): 2.759 2.759 8.029 90.00 90.00 90.00
Fractional positions:
Ag  0.000  0.000  0.000
Ag  0.500  0.500  0.263
Ir  0.000  0.000  0.526
Os  0.500  0.500  0.738

three:
Ag2IrOs | SCAN | PBEsol geometry

Computed properties:
The space group is No. 160.

Lattice parameters (Å, degrees): 2.745 2.745 27.801 90.00 90.00 120.00
Fractional positions:
Ag  0.000  0.000  0.000
Ag  0.000  0.000  0.247
Ag  0.333  0.667  0.667
Ag  0.333  0.667  0.913
Ag  0.667  0.333  0.333
Ag  0.667  0.333  0.580
Ir  0.000  0.000  0.494
Ir  0.333  0.667  0.161
Ir  0.667  0.333  0.827
Os  0.000  0.000  0.753
Os  0.333  0.667  0.419
Os  0.667  0.333  0.086

Relative calculated energies, zero for the most stable structure, unit kJ/mol of atoms: one 31.2; two 0.8; three 0.0.

one:
AgIrPt2 | SCAN | PBEsol geometry

Computed properties:
The space group is No. 123.

Lattice parameters (Å, degrees): 2.751 2.751 7.989 90.00 90.00 90.00
Fractional positions:
Ag  0.000  0.000  0.000
Ir  0.000  0.000  0.500
Pt  0.500  0.500  0.265
Pt  0.500  0.500  0.735

two:
AgIrPt2 | SCAN | PBEsol geometry

Computed properties:
The space group is No. 119.

Lattice parameters (Å, degrees): 3.930 3.930 7.758 90.00 90.00 90.00
Fractional positions:
Ag  0.000  0.000  0.000
Ag  0.500  0.500  0.500
Ir  0.000  0.500  0.250
Ir  0.500  0.000  0.750
Pt  0.000  0.000  0.500
Pt  0.000  0.500  0.750
Pt  0.500  0.000  0.250
Pt  0.500  0.500  0.000

Relative calculated energies, zero for the most stable structure, unit kJ/mol of atoms: one 0.0; two 16.1.

one:
Ag2IrPt | SCAN | PBEsol geometry

Computed properties:
The space group is No. 12.

Lattice parameters (Å, degrees): 9.508 2.726 4.793 90.00 99.56 90.00
Fractional positions:
Ag  0.249  0.000  0.248
Ag  0.251  0.500  0.752
Ag  0.749  0.500  0.248
Ag  0.751  0.000  0.752
Ir  0.000  0.500  0.000
Ir  0.500  0.000  0.000
Pt  0.000  0.000  0.500
Pt  0.500  0.500  0.500

two:
Ag2IrPt | SCAN | PBEsol geometry

Computed properties:
The space group is No. 216.

Lattice parameters (Å, degrees): 6.285 6.285 6.285 90.00 90.00 90.00
Fractional positions:
Ag  0.000  0.000  0.000
Ag  0.000  0.500  0.500
Ag  0.250  0.250  0.250
Ag  0.250  0.750  0.750
Ag  0.500  0.000  0.500
Ag  0.500  0.500  0.000
Ag  0.750  0.250  0.750
Ag  0.750  0.750  0.250
Ir  0.000  0.000  0.500
Ir  0.000  0.500  0.000
Ir  0.500  0.000  0.000
Ir  0.500  0.500  0.500
Pt  0.250  0.250  0.750
Pt  0.250  0.750  0.250
Pt  0.750  0.250  0.250
Pt  0.750  0.750  0.750

Relative calculated energies, zero for the most stable structure, unit kJ/mol of atoms: one 0.0; two 23.7.

one:
Ag2IrPt | SCAN | PBEsol geometry

Computed properties:
The space group is No. 12.

Lattice parameters (Å, degrees): 5.459 9.607 2.700 90.00 118.87 90.00
Fractional positions:
Ag  0.250  0.250  0.000
Ag  0.250  0.750  0.000
Ag  0.750  0.250  0.000
Ag  0.750  0.750  0.000
Ir  0.000  0.000  0.500
Ir  0.500  0.500  0.500
Pt  0.000  0.500  0.500
Pt  0.500  0.000  0.500

two:
Ag2IrPt | SCAN | PBEsol geometry

Computed properties:
The space group is No. 225.

Lattice parameters (Å, degrees): 6.283 6.283 6.283 90.00 90.00 90.00
Fractional positions:
Ag  0.250  0.250  0.250
Ag  0.250  0.250  0.750
Ag  0.250  0.750  0.250
Ag  0.250  0.750  0.750
Ag  0.750  0.250  0.250
Ag  0.750  0.250  0.750
Ag  0.750  0.750  0.250
Ag  0.750  0.750  0.750
Ir  0.000  0.000  0.000
Ir  0.000  0.500  0.500
Ir  0.500  0.000  0.500
Ir  0.500  0.500  0.000
Pt  0.000  0.000  0.500
Pt  0.000  0.500  0.000
Pt  0.500  0.000  0.000
Pt  0.500  0.500  0.500

three:
Ag2IrPt | SCAN | PBEsol geometry

Computed properties:
The space group is No. 123.

Lattice parameters (Å, degrees): 3.141 3.141 6.279 90.00 90.00 90.00
Fractional positions:
Ag  0.000  0.000  0.248
Ag  0.000  0.000  0.752
Ir  0.500  0.500  0.000
Pt  0.500  0.500  0.500

Relative calculated energies, zero for the most stable structure, unit kJ/mol of atoms: one 0.0; two 37.0; three 33.8.

one:
Ag2IrPt | SCAN | PBEsol geometry

Computed properties:
The space group is No. 139.

Lattice parameters (Å, degrees): 3.845 3.845 8.358 90.00 90.00 90.00
Fractional positions:
Ag  0.000  0.500  0.250
Ag  0.000  0.500  0.750
Ag  0.500  0.000  0.250
Ag  0.500  0.000  0.750
Ir  0.000  0.000  0.000
Ir  0.500  0.500  0.500
Pt  0.000  0.000  0.500
Pt  0.500  0.500  0.000

two:
Ag2IrPt | SCAN | PBEsol geometry

Computed properties:
The space group is No. 47.

Lattice parameters (Å, degrees): 2.673 4.225 5.472 90.00 90.00 90.00
Fractional positions:
Ag  0.000  0.000  0.248
Ag  0.000  0.000  0.752
Ir  0.500  0.500  0.000
Pt  0.500  0.500  0.500

Relative calculated energies, zero for the most stable structure, unit kJ/mol of atoms: one 3.7; two 0.0.

one:
RbAgIr3 | SCAN | PBEsol geometry

Computed properties:
The space group is No. 221.

Lattice parameters (Å, degrees): 4.886 4.886 4.886 90.00 90.00 90.00
Fractional positions:
Rb  0.000  0.000  0.000
Ag  0.500  0.500  0.500
Ir  0.000  0.500  0.500
Ir  0.500  0.000  0.500
Ir  0.500  0.500  0.000

two:
RbAgIr3 | SCAN | PBEsol geometry

Computed properties:
The space group is No. 221.

Lattice parameters (Å, degrees): 4.733 4.733 4.733 90.00 90.00 90.00
Fractional positions:
Rb  0.000  0.000  0.000
Ag  0.500  0.500  0.500
Ir  0.000  0.000  0.500
Ir  0.000  0.500  0.000
Ir  0.500  0.000  0.000

Relative calculated energies, zero for the most stable structure, unit kJ/mol of atoms: one 0.0; two 127.0.

one:
Ag2IrRu | SCAN | PBEsol geometry

Computed properties:
The space group is No. 47.

Lattice parameters (Å, degrees): 2.733 4.627 4.813 90.00 90.00 90.00
Fractional positions:
Ag  0.000  0.000  0.000
Ag  0.500  0.500  0.000
Ir  0.000  0.500  0.500
Ru  0.500  0.000  0.500

two:
Ag2IrRu | SCAN | PBEsol geometry

Computed properties:
The space group is No. 160.

Lattice parameters (Å, degrees): 2.738 2.738 27.702 90.00 90.00 120.00
Fractional positions:
Ag  0.000  0.000  0.000
Ag  0.000  0.000  0.246
Ag  0.333  0.667  0.667
Ag  0.333  0.667  0.913
Ag  0.667  0.333  0.333
Ag  0.667  0.333  0.579
Ir  0.000  0.000  0.753
Ir  0.333  0.667  0.420
Ir  0.667  0.333  0.087
Ru  0.000  0.000  0.494
Ru  0.333  0.667  0.161
Ru  0.667  0.333  0.827

three:
Ag2IrRu | SCAN | PBEsol geometry

Computed properties:
The space group is No. 47.

Lattice parameters (Å, degrees): 2.652 4.295 5.289 90.00 90.00 90.00
Fractional positions:
Ag  0.000  0.000  0.249
Ag  0.000  0.000  0.751
Ir  0.500  0.500  0.500
Ru  0.500  0.500  0.000

Relative calculated energies, zero for the most stable structure, unit kJ/mol of atoms: one 27.5; two 0.0; three 39.1.

one:
AgIr2Ru | SCAN | PBEsol geometry

Computed properties:
The space group is No. 12.

Lattice parameters (Å, degrees): 9.062 2.718 4.729 90.00 99.93 90.00
Fractional positions:
Ag  0.000  0.000  0.000
Ag  0.500  0.500  0.000
Ir  0.243  0.000  0.739
Ir  0.257  0.500  0.261
Ir  0.743  0.500  0.739
Ir  0.757  0.000  0.261
Ru  0.000  0.500  0.500
Ru  0.500  0.000  0.500

two:
AgIr2Ru | SCAN | PBEsol geometry

Computed properties:
The space group is No. 65.

Lattice parameters (Å, degrees): 5.456 7.765 2.710 90.00 90.00 90.00
Fractional positions:
Ag  0.000  0.000  0.000
Ag  0.500  0.500  0.000
Ir  0.250  0.250  0.500
Ir  0.250  0.750  0.500
Ir  0.750  0.250  0.500
Ir  0.750  0.750  0.500
Ru  0.000  0.500  0.000
Ru  0.500  0.000  0.000

three:
AgIr2Ru | SCAN | PBEsol geometry

Computed properties:
The space group is No. 216.

Lattice parameters (Å, degrees): 6.160 6.160 6.160 90.00 90.00 90.00
Fractional positions:
Ag  0.000  0.000  0.000
Ag  0.000  0.500  0.500
Ag  0.500  0.000  0.500
Ag  0.500  0.500  0.000
Ir  0.000  0.000  0.500
Ir  0.000  0.500  0.000
Ir  0.250  0.250  0.250
Ir  0.250  0.750  0.750
Ir  0.500  0.000  0.000
Ir  0.500  0.500  0.500
Ir  0.750  0.250  0.750
Ir  0.750  0.750  0.250
Ru  0.250  0.250  0.750
Ru  0.250  0.750  0.250
Ru  0.750  0.250  0.250
Ru  0.750  0.750  0.750

Relative calculated energies, zero for the most stable structure, unit kJ/mol of atoms: one 0.0; two 11.7; three 34.7.

one:
AgIr2Ru | SCAN | PBEsol geometry

Computed properties:
The space group is No. 65.

Lattice parameters (Å, degrees): 2.707 4.642 9.378 90.00 90.00 90.00
Fractional positions:
Ag  0.000  0.000  0.000
Ag  0.500  0.500  0.000
Ir  0.000  0.500  0.262
Ir  0.000  0.500  0.738
Ir  0.500  0.000  0.262
Ir  0.500  0.000  0.738
Ru  0.000  0.000  0.500
Ru  0.500  0.500  0.500

two:
AgIr2Ru | SCAN | PBEsol geometry

Computed properties:
The space group is No. 123.

Lattice parameters (Å, degrees): 2.714 2.714 7.843 90.00 90.00 90.00
Fractional positions:
Ag  0.000  0.000  0.000
Ir  0.500  0.500  0.269
Ir  0.500  0.500  0.731
Ru  0.000  0.000  0.500

Relative calculated energies, zero for the most stable structure, unit kJ/mol of atoms: one 18.3; two 0.0.

one:
Si2AgIr | SCAN | PBEsol geometry

Computed properties:
The space group is No. 122.

Lattice parameters (Å, degrees): 5.733 5.733 9.927 90.00 90.00 90.00
Fractional positions:
Si  0.220  0.250  0.125
Si  0.250  0.720  0.375
Si  0.250  0.780  0.875
Si  0.280  0.250  0.625
Si  0.720  0.750  0.625
Si  0.750  0.220  0.875
Si  0.750  0.280  0.375
Si  0.780  0.750  0.125
Ag  0.000  0.000  0.500
Ag  0.000  0.500  0.750
Ag  0.500  0.000  0.250
Ag  0.500  0.500  0.000
Ir  0.000  0.000  0.000
Ir  0.000  0.500  0.250
Ir  0.500  0.000  0.750
Ir  0.500  0.500  0.500

two:
Si2AgIr | SCAN | PBEsol geometry

Computed properties:
The space group is No. 35.

Lattice parameters (Å, degrees): 2.838 4.767 8.826 90.00 90.00 90.00
Fractional positions:
Si  0.000  0.000  0.000
Si  0.000  0.500  0.246
Si  0.500  0.000  0.246
Si  0.500  0.500  0.000
Ag  0.000  0.000  0.509
Ag  0.500  0.500  0.509
Ir  0.000  0.500  0.787
Ir  0.500  0.000  0.787

Relative calculated energies, zero for the most stable structure, unit kJ/mol of atoms: one 0.0; two 7.7.

one:
TcAgIr2 | SCAN | PBEsol geometry

Computed properties:
The space group is No. 8.

Lattice parameters (Å, degrees): 9.120 2.723 4.745 90.00 99.86 90.00
Fractional positions:
Tc  0.000  0.000  0.000
Tc  0.500  0.500  0.000
Ag  0.260  0.500  0.278
Ag  0.760  0.000  0.278
Ir  0.016  0.500  0.523
Ir  0.257  0.000  0.784
Ir  0.516  0.000  0.523
Ir  0.757  0.500  0.784

two:
TcAgIr2 | SCAN | PBEsol geometry

Computed properties:
The space group is No. 123.

Lattice parameters (Å, degrees): 3.900 3.900 3.817 90.00 90.00 90.00
Fractional positions:
Tc  0.000  0.000  0.000
Ag  0.500  0.500  0.000
Ir  0.000  0.500  0.500
Ir  0.500  0.000  0.500

three:
TcAgIr2 | SCAN | PBEsol geometry

Computed properties:
The space group is No. 25.

Lattice parameters (Å, degrees): 2.706 3.908 5.502 90.00 90.00 90.00
Fractional positions:
Tc  0.000  0.000  0.000
Ag  0.500  0.500  0.273
Ir  0.000  0.000  0.528
Ir  0.500  0.500  0.783

Relative calculated energies, zero for the most stable structure, unit kJ/mol of atoms: one 0.0; two 17.6; three 1.2.